Pu3RuN6 after structural relaxation. Source: Alexandria via LeMat-Bulk, functional GGA-PBE.

POSCAR file:
```
Pu3RuN6
1.0
-0.4226 -5.2013 -1.3182
4.6795 -1.6959 5.1913
-6.3385 -0.3419 3.3808
N Pu Ru
12 6 2
Direct
0.6944 0.3266 0.3585
0.1813 0.0489 0.9511
0.6621 0.2098 0.7902
0.1981 0.4266 0.8902
0.6944 0.6415 0.6734
0.1944 0.6734 0.6415
0.1981 0.1098 0.5734
0.6813 0.9511 0.0489
0.1944 0.3585 0.3266
0.6981 0.5734 0.1098
0.6981 0.8902 0.4266
0.1621 0.7902 0.2098
0.4314 0.3962 0.6038
0.9586 0.6957 0.9120
0.9586 0.0880 0.3043
0.4586 0.3043 0.0880
0.9314 0.6038 0.3962
0.4586 0.9120 0.6957
0.5083 0.8012 0.1988
0.0083 0.1988 0.8012
```

Output
size of the total moment	8.02	μB per cell
raw total energy	-10.901	eV/atom
SG	Cmc2_1 (36)